Record 1
# HgWCl2

A crystal of HgWCl2 relaxed with PBEsol (meta-GGA SCAN, the Alexandria database).

- Magnetization: 0.00 μB per formula unit
- Calculated total energy: -38.095 eV per atom
- Energy above the lowest structure with this stoichiometry: 0.150 eV per atom
- Density of states at the Fermi level: 2.2 states/eV/cell

The structure in POSCAR format:
```
HgWCl2
1.0
2.987 0.000 0.000
0.000 2.987 0.000
0.000 0.000 8.917
Hg W Cl
1 1 2
direct
0.000 0.000 0.000 Hg
0.000 0.000 0.500 W
0.500 0.500 0.336 Cl
0.500 0.500 0.664 Cl
```



Record 2
# HgW2Cl

A crystal of HgW2Cl relaxed with PBEsol (meta-GGA SCAN, the Alexandria database).

- Magnetization: 0.00 μB per formula unit
- Calculated total energy: -53.341 eV per atom
- Energy above the lowest structure with this stoichiometry: 0.000 eV per atom
- Density of states at the Fermi level: 3.2 states/eV/cell

The structure in POSCAR format:
```
HgW2Cl
1.0
2.871 0.000 0.000
0.000 2.871 0.000
0.000 0.000 9.060
Hg W Cl
1 2 1
direct
0.000 0.000 0.000 Hg
0.000 0.000 0.452 W
0.500 0.500 0.244 W
0.500 0.500 0.634 Cl
```